No. 1
HOsO3 (GGA-PBE, relaxed); final energy = -30.9 eV/f.u.
1.0
-3.175 1.124 1.666
-1.894 -2.715 -1.777
0.672 -2.341 2.861
O H Os
3 1 1
direct
0.000 0.500 0.000
0.000 0.000 0.500
0.500 0.000 0.000
0.500 0.500 0.500
0.000 0.000 0.000

***

No. 2
H2OsO (GGA-PBE, relaxed); E above lowest polymorph = 487.3 meV/atom
1.0
0.000 2.394 2.394
2.394 0.000 2.394
2.394 2.394 0.000
H Os O
2 1 1
direct
0.250 0.250 0.250
0.750 0.750 0.750
0.500 0.500 0.500
0.000 0.000 0.000

***

No. 3
PHOsO2 (GGA-PBE, relaxed); E above lowest polymorph = 839.7 meV/atom
1.0
-2.359 -2.391 -2.054
3.119 -1.401 -1.952
0.340 -2.091 2.044
Os H O P
1 1 2 1
direct
0.500 0.500 0.500
0.000 0.000 0.000
0.000 0.500 0.000
0.500 0.000 0.000
0.000 0.000 0.500

***

No. 4
P2HOsO (GGA-PBE, relaxed); E above lowest polymorph = 0.0 meV/atom
1.0
4.693 0.000 0.000
0.000 4.693 0.000
0.000 0.000 3.697
Os O P H
1 1 2 1
direct
0.000 0.000 0.000
0.000 0.000 0.500
0.000 0.500 0.000
0.500 0.000 0.000
0.500 0.500 0.500